w) Here is a relaxed structure of GeWN2F from Alexandria via LeMat-Bulk. Energies are from GGA+U.

Spin magnetization, μB per formula unit: 2.891
Crystal system: tetragonal

Lattice parameters (Å, degrees): 3.9110 3.9110 3.7244 90.00 90.00 90.00
Last column: nearest neighbours and their distance in Å.
Fractional coordinates of all 5 atoms:
N1 0.0000 0.5000 0.0000  2 Ge 1.96
W1 0.5000 0.5000 0.5000  8 N 2.70, 4 F 2.77
F1 0.0000 0.0000 0.5000  2 Ge 1.86
Ge1 0.0000 0.0000 0.0000  2 F 1.86, 4 N 1.96
N2 0.5000 0.0000 0.0000  2 Ge 1.96

=====

x) Here is a relaxed structure of GeWN2F from Alexandria via LeMat-Bulk. Energies are from GGA+U.

Spin magnetization, μB per formula unit: 1.016
Crystal system: tetragonal

Lattice parameters (Å, degrees): 4.0586 4.0586 4.1098 90.00 90.00 90.00
Last column: nearest neighbours and their distance in Å.
Fractional coordinates of all 5 atoms:
N1 0.0000 0.5000 0.0000  2 W 2.03
F1 0.0000 0.0000 0.5000  2 W 2.05
N2 0.5000 0.0000 0.0000  2 W 2.03
W1 0.0000 0.0000 0.0000  4 N 2.03, 2 F 2.05
Ge1 0.5000 0.5000 0.5000  4 F 2.87, 8 N 2.89

=====

Stability summary: most stable x), least stable w).